Below is a geometry-optimized RbCu2SeS structure, with properties calculated at the PBEsol level.

## Properties
The symmetry is P4/mmm. For the mass density, the calculation gives 4.48 g/cm3. As for the formation energy from raw total energies: 0.027 eV/atom.

Lattice parameters (Å, degrees): 4.3624 4.3624 6.3092 90.00 90.00 90.00
Closest atoms and distances in Å follow each position.
Positions (direct):
Rb  0.0000  0.0000  0.0000  4 Se 3.08, 2 S 3.15
Cu  0.0000  0.5000  0.5000  2 S 2.18
Cu  0.5000  0.0000  0.5000  2 S 2.18
Se  0.5000  0.5000  0.0000  4 Rb 3.08
S  0.0000  0.0000  0.5000  4 Cu 2.18

Below is a geometry-optimized Rb2TaCuS4 structure, with properties calculated at the PBEsol level.

## Properties
The symmetry is Fddd. For the mass density, the calculation gives 4.13 g/cm3. As for the formation energy from raw total energies: -1.088 eV/atom.

Lattice parameters (Å, degrees): 13.5916 12.1442 7.2446 85.03 62.89 32.07
Closest atoms and distances in Å follow each position.
Positions (direct):
Rb  0.0531  0.0531  0.6969  8 S 3.44-3.62
Rb  0.3031  0.3031  0.9469  8 S 3.44-3.62
Rb  0.6969  0.6969  0.0531  8 S 3.44-3.62
Rb  0.9469  0.9469  0.3031  8 S 3.44-3.62
Ta  0.1250  0.1250  0.1250  4 S 2.28
Ta  0.8750  0.8750  0.8750  4 S 2.28
Cu  0.3750  0.3750  0.3750  4 S 2.31
Cu  0.6250  0.6250  0.6250  4 S 2.31
S  0.0318  0.3272  0.4134  1 Ta 2.28, 1 Cu 2.31
S  0.2725  0.5866  0.6728  1 Ta 2.28, 1 Cu 2.31
S  0.3272  0.0318  0.7275  1 Ta 2.28, 1 Cu 2.31
S  0.4134  0.7275  0.0318  1 Ta 2.28, 1 Cu 2.31
S  0.5866  0.2725  0.9682  1 Ta 2.28, 1 Cu 2.31
S  0.6728  0.9682  0.2725  1 Ta 2.28, 1 Cu 2.31
S  0.7275  0.4134  0.3272  1 Ta 2.28, 1 Cu 2.31
S  0.9682  0.6728  0.5866  1 Ta 2.28, 1 Cu 2.31

Below is a geometry-optimized RbVCu2S4 structure, with properties calculated at the PBEsol level.

## Properties
The symmetry is Ama2. For the mass density, the calculation gives 3.73 g/cm3. As for the formation energy from raw total energies: -0.846 eV/atom.

Lattice parameters (Å, degrees): 7.2739 9.3915 9.3915 147.02 90.00 90.00
Closest atoms and distances in Å follow each position.
Positions (direct):
Rb  0.2500  0.1827  0.8173  9 S 3.32-3.66
Rb  0.7500  0.8173  0.1827  9 S 3.32-3.66
V  0.2500  0.1375  0.3533  4 S 2.15-2.21
V  0.7500  0.3533  0.1375  4 S 2.15-2.21
Cu  0.0000  0.2623  0.2623  4 S 2.26-2.27
Cu  0.2500  0.6390  0.8509  4 S 2.26-2.27
Cu  0.5000  0.2623  0.2623  4 S 2.26-2.27
Cu  0.7500  0.8509  0.6390  4 S 2.26-2.27
S  0.0055  0.3749  0.5893  1 V 2.18, 2 Cu 2.26
S  0.2500  0.0017  0.0156  1 V 2.21, 3 Cu 2.27
S  0.2500  0.8034  0.2119  1 V 2.15, 1 Cu 2.26
S  0.4945  0.3749  0.5893  1 V 2.18, 2 Cu 2.26
S  0.5055  0.5893  0.3749  1 V 2.18, 2 Cu 2.26
S  0.7500  0.0156  0.0017  1 V 2.21, 3 Cu 2.27
S  0.7500  0.2119  0.8034  1 V 2.15, 1 Cu 2.26
S  0.9945  0.5893  0.3749  1 V 2.18, 2 Cu 2.26

Below is a geometry-optimized RbCuSb2 structure, with properties calculated at the PBEsol level.

## Properties
The symmetry is I4_1/amd. For the mass density, the calculation gives 4.61 g/cm3. As for the formation energy from raw total energies: 0.043 eV/atom.

Lattice parameters (Å, degrees): 9.4081 9.4081 9.4081 144.25 144.25 51.45
Closest atoms and distances in Å follow each position.
Positions (direct):
Rb  0.3750  0.6250  0.7500  8 Sb 3.86, 4 Cu 4.08
Rb  0.6250  0.3750  0.2500  8 Sb 3.86, 4 Cu 4.08
Cu  0.1250  0.8750  0.2500  4 Sb 2.56
Cu  0.8750  0.1250  0.7500  4 Sb 2.56
Sb  0.0000  0.0000  0.0000  2 Cu 2.56
Sb  0.0000  0.0000  0.5000  2 Cu 2.56
Sb  0.0000  0.5000  0.0000  2 Cu 2.56
Sb  0.5000  0.0000  0.5000  2 Cu 2.56

Below is a geometry-optimized RbCuSb2 structure, with properties calculated at the PBEsol level.

## Properties
The symmetry is Fm-3m. For the mass density, the calculation gives 6.49 g/cm3. As for the formation energy from raw total energies: 0.429 eV/atom.

Lattice parameters (Å, degrees): 5.2171 5.2171 5.2171 60.00 60.00 60.00
Closest atoms and distances in Å follow each position.
Positions (direct):
Rb  0.0000  0.0000  0.0000  8 Sb 3.19
Cu  0.5000  0.5000  0.5000  8 Sb 3.19
Sb  0.2500  0.2500  0.2500  4 Cu 3.19, 4 Rb 3.19
Sb  0.7500  0.7500  0.7500  4 Rb 3.19, 4 Cu 3.19

Below is a geometry-optimized RbSc3Cu structure, with properties calculated at the PBEsol level.

## Properties
The symmetry is Pm-3m. For the mass density, the calculation gives 3.44 g/cm3. As for the formation energy: 0.4592 eV/atom.

Lattice parameters (Å, degrees): 5.1574 5.1574 5.1574 90.00 90.00 90.00
Closest atoms and distances in Å follow each position.
Positions (direct):
Rb  0.0000  0.0000  0.0000  12 Sc 3.65
Sc  0.0000  0.5000  0.5000  2 Cu 2.58
Sc  0.5000  0.0000  0.5000  2 Cu 2.58
Sc  0.5000  0.5000  0.0000  2 Cu 2.58
Cu  0.5000  0.5000  0.5000  6 Sc 2.58

Below is a geometry-optimized RbScCu3 structure, with properties calculated at the PBEsol level.

## Properties
The symmetry is Pm-3m. For the mass density, the calculation gives 4.39 g/cm3. As for the formation energy: 1.6717 eV/atom.

Lattice parameters (Å, degrees): 4.9513 4.9513 4.9513 90.00 90.00 90.00
Closest atoms and distances in Å follow each position.
Positions (direct):
Rb  0.0000  0.0000  0.0000  6 Cu 2.48
Sc  0.5000  0.5000  0.5000  12 Cu 3.50
Cu  0.0000  0.0000  0.5000  2 Rb 2.48
Cu  0.0000  0.5000  0.0000  2 Rb 2.48
Cu  0.5000  0.0000  0.0000  2 Rb 2.48

Below is a geometry-optimized RbCuSe2 structure, with properties calculated at the PBEsol level.

## Properties
The symmetry is R-3m. For the mass density, the calculation gives 4.80 g/cm3. As for the formation energy from raw total energies: 0.026 eV/atom.

Lattice parameters (Å, degrees): 9.7551 9.7551 9.7551 21.19 21.19 21.19
Closest atoms and distances in Å follow each position.
Positions (direct):
Rb  0.0000  0.0000  0.0000  6 Se 3.30, 6 Rb 3.59
Cu  0.5000  0.5000  0.5000  2 Se 2.19
Se  0.4233  0.4233  0.4233  1 Cu 2.19
Se  0.5767  0.5767  0.5767  1 Cu 2.19

Below is a geometry-optimized RbCu4Se3 structure, with properties calculated at the PBEsol level.

## Properties
The symmetry is P4/mmm. For the mass density, the calculation gives 6.22 g/cm3. As for the formation energy from raw total energies: -0.353 eV/atom.

Lattice parameters (Å, degrees): 3.9489 3.9489 9.8736 90.00 90.00 90.00
Closest atoms and distances in Å follow each position.
Positions (direct):
Rb  0.0000  0.0000  0.0000  8 Se 3.45
Cu  0.0000  0.5000  0.3422  4 Se 2.40-2.52
Cu  0.0000  0.5000  0.6578  4 Se 2.40-2.52
Cu  0.5000  0.0000  0.3422  4 Se 2.40-2.52
Cu  0.5000  0.0000  0.6578  4 Se 2.40-2.52
Se  0.0000  0.0000  0.5000  8 Cu 2.52
Se  0.5000  0.5000  0.2046  4 Cu 2.40
Se  0.5000  0.5000  0.7954  4 Cu 2.40

Below is a geometry-optimized RbCuSe4 structure, with properties calculated at the PBEsol level.

## Properties
The symmetry is P2_12_12_1. For the mass density, the calculation gives 4.96 g/cm3. As for the formation energy from raw total energies: -0.401 eV/atom.

Lattice parameters (Å, degrees): 5.4237 8.5886 13.3619 90.00 90.00 90.00
Closest atoms and distances in Å follow each position.
Positions (direct):
Rb  0.1766  0.0492  0.3304  10 Se 3.42-3.70, 1 Cu 3.71
Rb  0.3234  0.9508  0.8304  10 Se 3.42-3.70, 1 Cu 3.71
Rb  0.6766  0.4508  0.6696  10 Se 3.42-3.70, 1 Cu 3.71
Rb  0.8234  0.5492  0.1696  10 Se 3.42-3.70, 1 Cu 3.71
Cu  0.0294  0.1313  0.0644  4 Se 2.37-2.44
Cu  0.4706  0.8687  0.5644  4 Se 2.37-2.44
Cu  0.5294  0.3687  0.9356  4 Se 2.37-2.44
Cu  0.9706  0.6313  0.4356  4 Se 2.37-2.44
Se  0.1036  0.5950  0.9398  2 Se 2.43-2.44
Se  0.1431  0.6931  0.5970  2 Cu 2.37-2.41, 1 Se 2.42
Se  0.1588  0.3685  0.8325  2 Se 2.42-2.44, 1 Cu 2.44
Se  0.1650  0.8692  0.0914  1 Cu 2.40, 1 Se 2.43
Se  0.3350  0.1308  0.5914  1 Cu 2.40, 1 Se 2.43
Se  0.3412  0.6315  0.3325  2 Se 2.42-2.44, 1 Cu 2.44
Se  0.3569  0.3069  0.0970  2 Cu 2.37-2.41, 1 Se 2.42
Se  0.3964  0.4050  0.4398  2 Se 2.43-2.44
Se  0.6036  0.9050  0.0602  2 Se 2.43-2.44
Se  0.6431  0.8069  0.4030  2 Cu 2.37-2.41, 1 Se 2.42
Se  0.6588  0.1315  0.1675  2 Se 2.42-2.44, 1 Cu 2.44
Se  0.6650  0.6308  0.9086  1 Cu 2.40, 1 Se 2.43
Se  0.8350  0.3692  0.4086  1 Cu 2.40, 1 Se 2.43
Se  0.8412  0.8685  0.6675  2 Se 2.42-2.44, 1 Cu 2.44
Se  0.8569  0.1931  0.9030  2 Cu 2.37-2.41, 1 Se 2.42
Se  0.8964  0.0950  0.5602  2 Se 2.43-2.44

Below is a geometry-optimized Rb2TaCuSe4 structure, with properties calculated at the PBEsol level.

## Properties
The symmetry is Fddd. For the mass density, the calculation gives 5.06 g/cm3. As for the formation energy from raw total energies: -0.926 eV/atom.

Lattice parameters (Å, degrees): 14.0206 12.5349 7.4650 85.01 62.95 32.03
Closest atoms and distances in Å follow each position.
Positions (direct):
Rb  0.0543  0.0543  0.6957  8 Se 3.52-3.73
Rb  0.3043  0.3043  0.9457  8 Se 3.52-3.73
Rb  0.6957  0.6957  0.0543  8 Se 3.52-3.73
Rb  0.9457  0.9457  0.3043  8 Se 3.52-3.73
Ta  0.1250  0.1250  0.1250  4 Se 2.41
Ta  0.8750  0.8750  0.8750  4 Se 2.41
Cu  0.3750  0.3750  0.3750  4 Se 2.43
Cu  0.6250  0.6250  0.6250  4 Se 2.43
Se  0.0351  0.3278  0.4158  1 Ta 2.41, 1 Cu 2.43
Se  0.2787  0.5842  0.6722  1 Ta 2.41, 1 Cu 2.43
Se  0.3278  0.0351  0.7213  1 Ta 2.41, 1 Cu 2.43
Se  0.4158  0.7213  0.0351  1 Ta 2.41, 1 Cu 2.43
Se  0.5842  0.2787  0.9649  1 Ta 2.41, 1 Cu 2.43
Se  0.6722  0.9649  0.2787  1 Ta 2.41, 1 Cu 2.43
Se  0.7213  0.4158  0.3278  1 Ta 2.41, 1 Cu 2.43
Se  0.9649  0.6722  0.5842  1 Ta 2.41, 1 Cu 2.43

Below is a geometry-optimized RbTi2CuSn structure, with properties calculated at the PBEsol level.

## Properties
The symmetry is P4/mmm. For the mass density, the calculation gives 3.44 g/cm3. As for the formation energy: 1.3310 eV/atom.

Lattice parameters (Å, degrees): 5.2104 5.2104 6.4652 90.00 90.00 90.00
Closest atoms and distances in Å follow each position.
Positions (direct):
Rb  0.0000  0.0000  0.0000  2 Sn 3.23
Ti  0.0000  0.5000  0.5000  2 Sn 2.61
Ti  0.5000  0.0000  0.5000  2 Sn 2.61
Cu  0.5000  0.5000  0.0000  4 Rb 3.68
Sn  0.0000  0.0000  0.5000  4 Ti 2.61

Below is a geometry-optimized Rb2SrCuTe structure, with properties calculated at the PBEsol level.

## Properties
The symmetry is P4/mmm. For the mass density, the calculation gives 3.01 g/cm3. As for the formation energy from raw total energies: 0.033 eV/atom.

Lattice parameters (Å, degrees): 7.0732 7.0732 4.9621 90.00 90.00 90.00
Closest atoms and distances in Å follow each position.
Positions (direct):
Rb  0.0000  0.5000  0.0000  2 Te 3.54
Rb  0.5000  0.0000  0.0000  2 Te 3.54
Sr  0.0000  0.0000  0.5000  8 Rb 4.32
Cu  0.5000  0.5000  0.5000  2 Te 2.48
Te  0.5000  0.5000  0.0000  2 Cu 2.48

Number 1: VASP energy -3.56 eV per atom. Number 2: VASP energy -5.65 eV per atom. Number 3: VASP energy -5.45 eV per atom. Number 4: VASP energy -3.58 eV per atom. Number 5: VASP energy -3.19 eV per atom. Number 6: VASP energy -4.58 eV per atom. Number 7: VASP energy -2.45 eV per atom. Number 8: VASP energy -3.24 eV per atom. Number 9: VASP energy -4.09 eV per atom. Number 10: VASP energy -3.86 eV per atom. Number 11: VASP energy -5.22 eV per atom. Number 12: VASP energy -3.92 eV per atom. Number 13: VASP energy -2.32 eV per atom.